1.
Compound: V2CdSbAu
Source: Alexandria via LeMat-Bulk
Functional: PBE
Structure: relaxed

a = 5.0905 Å, b = 5.0905 Å, c = 4.9874 Å
α = 90.00°, β = 90.00°, γ = 90.00°
Element x y z (fractional)
V 0.0000 0.5000 0.0000
V 0.5000 0.0000 0.0000
Cd 0.0000 0.0000 0.0000
Sb 0.5000 0.5000 0.5000
Au 0.0000 0.0000 0.5000

Values from the calculation:
As for the magnetization: 1.33 μB/atom. The space group is P4/mmm, No. 123. The calculation puts the final energy at -20.31 eV/cell. The uncorrected formation energy is 1248.8 meV per atom.

2.
Compound: RbHfGeAs2
Source: Alexandria via LeMat-Bulk
Functional: PBE
Structure: relaxed

a = 5.3920 Å, b = 5.3920 Å, c = 5.4113 Å
α = 90.00°, β = 90.00°, γ = 90.00°
Element x y z (fractional)
Rb 0.0000 0.0000 0.0000
Hf 0.0000 0.0000 0.5000
Ge 0.5000 0.5000 0.5000
As 0.0000 0.5000 0.0000
As 0.5000 0.0000 0.0000

Values from the calculation:
As for the magnetization: 0.02 μB/atom. The space group is P4/mmm, No. 123. The value obtained for the formation energy is 2.12 eV per atom. The calculation puts the final energy at -14.23 eV/cell.

3.
Compound: DyTe2H
Source: Alexandria via LeMat-Bulk
Functional: PBE
Structure: relaxed

a = 4.4940 Å, b = 7.8968 Å, c = 7.9450 Å
α = 71.56°, β = 89.71°, γ = 89.06°
Element x y z (fractional)
Dy 0.2481 0.4873 0.2218
Dy 0.7519 0.5127 0.7782
Te 0.2442 0.7404 0.8466
Te 0.2594 0.3048 0.6405
Te 0.7406 0.6952 0.3595
Te 0.7558 0.2596 0.1534
H 0.2581 0.0762 0.7276
H 0.7419 0.9238 0.2724

Values from the calculation:
As for the magnetization: 0.00 μB/atom. The space group is P-1, No. 2. Its polymorph energy (0 for the lowest one) is 0.000 eV per atom. The calculation puts the final energy at -34.51 eV/cell.

4.
Compound: Sr2NbPtCl
Source: Alexandria via LeMat-Bulk
Functional: PBE
Structure: relaxed

a = 6.2358 Å, b = 6.2358 Å, c = 4.7526 Å
α = 90.00°, β = 90.00°, γ = 90.00°
Element x y z (fractional)
Sr 0.0000 0.5000 0.0000
Sr 0.5000 0.0000 0.0000
Nb 0.0000 0.0000 0.0000
Pt 0.0000 0.0000 0.5000
Cl 0.5000 0.5000 0.5000

Values from the calculation:
As for the magnetization: 0.42 μB/atom. The space group is P4/mmm, No. 123. The calculation puts the final energy at -21.03 eV/cell. The uncorrected formation energy is 57.9 meV per atom.

5.
Compound: PmZrBiPb
Source: Alexandria via LeMat-Bulk
Functional: PBE
Structure: relaxed

a = 5.3777 Å, b = 5.3777 Å, c = 5.3777 Å
α = 60.00°, β = 60.00°, γ = 60.00°
Element x y z (fractional)
Pm 0.0000 0.0000 0.0000
Zr 0.5000 0.5000 0.5000
Bi 0.7500 0.7500 0.7500
Pb 0.2500 0.2500 0.2500

Values from the calculation:
As for the magnetization: 0.29 μB/atom. The space group is F-43m, No. 216. The value obtained for the formation energy is -0.25 eV per atom. The calculation puts the final energy at -21.89 eV/cell.

6.
Compound: Ba2POsF
Source: Alexandria via LeMat-Bulk
Functional: PBE
Structure: relaxed

a = 6.0832 Å, b = 6.0832 Å, c = 4.4315 Å
α = 90.00°, β = 90.00°, γ = 90.00°
Element x y z (fractional)
Ba 0.0000 0.5000 0.0000
Ba 0.5000 0.0000 0.0000
P 0.0000 0.0000 0.5000
Os 0.0000 0.0000 0.0000
F 0.5000 0.5000 0.5000

Values from the calculation:
As for the magnetization: 0.00 μB/atom. The space group is P4/mmm, No. 123. The calculation puts the final energy at -27.10 eV/cell. The uncorrected formation energy is -948.4 meV per atom.

7.
Compound: Tc5P3
Source: Alexandria via LeMat-Bulk
Functional: PBE
Structure: relaxed

a = 5.2739 Å, b = 5.2739 Å, c = 4.1446 Å
α = 90.00°, β = 90.00°, γ = 109.69°
Element x y z (fractional)
Tc 0.0000 0.0000 0.0000
Tc 0.0000 0.5000 0.0000
Tc 0.2669 0.2669 0.5000
Tc 0.5000 0.0000 0.0000
Tc 0.7331 0.7331 0.5000
P 0.2107 0.7893 0.5000
P 0.5000 0.5000 0.0000
P 0.7893 0.2107 0.5000

Values from the calculation:
As for the magnetization: 0.23 μB/atom. The space group is Cmmm, No. 65. The value obtained for the formation energy is -0.14 eV per atom. The calculation puts the final energy at -69.22 eV/cell.

8.
Compound: AcAlSnGe
Source: Alexandria via LeMat-Bulk
Functional: PBE
Structure: relaxed

a = 6.3787 Å, b = 6.3787 Å, c = 4.8263 Å
α = 112.13°, β = 112.13°, γ = 37.97°
Element x y z (fractional)
Ac 0.0000 0.0000 0.0000
Al 0.7730 0.7730 0.2691
Sn 0.6552 0.6552 0.6516
Ge 0.4053 0.4053 0.4120

Values from the calculation:
As for the magnetization: 0.00 μB/atom. The space group is Cm, No. 8. The value obtained for the formation energy is -0.36 eV per atom. The calculation puts the final energy at -17.92 eV/cell.

9.
Compound: Na2SrRuF8
Source: Alexandria via LeMat-Bulk
Functional: PBE
Structure: relaxed

a = 4.6086 Å, b = 7.3467 Å, c = 5.4882 Å
α = 90.00°, β = 90.21°, γ = 90.00°
Element x y z (fractional)
Na 0.0000 0.2425 0.0000
Na 0.0000 0.7575 0.0000
Sr 0.5000 0.0000 0.5000
Ru 0.5000 0.5000 0.5000
F 0.0961 0.0000 0.7603
F 0.1811 0.5000 0.7220
F 0.3470 0.2983 0.2962
F 0.3470 0.7017 0.2962
F 0.6530 0.2983 0.7038
F 0.6530 0.7017 0.7038
F 0.8189 0.5000 0.2780
F 0.9039 0.0000 0.2397

Values from the calculation:
As for the magnetization: 0.17 μB/atom. The space group is P2/m, No. 10. The calculation puts the final energy at -59.95 eV/cell. The uncorrected formation energy is -2615.6 meV per atom.

10.
Compound: La3Al3Ge2
Source: Alexandria via LeMat-Bulk
Functional: PBE
Structure: relaxed

a = 6.2443 Å, b = 6.2443 Å, c = 16.4017 Å
α = 90.00°, β = 90.00°, γ = 140.44°
Element x y z (fractional)
La 0.0595 0.9405 0.7500
La 0.3513 0.6487 0.5908
La 0.3513 0.6487 0.9092
La 0.6487 0.3513 0.0908
La 0.6487 0.3513 0.4092
La 0.9405 0.0595 0.2500
Al 0.0672 0.9328 0.5585
Al 0.0672 0.9328 0.9415
Al 0.2121 0.7879 0.2500
Al 0.7879 0.2121 0.7500
Al 0.9328 0.0672 0.0585
Al 0.9328 0.0672 0.4415
Ge 0.3534 0.6466 0.1204
Ge 0.3534 0.6466 0.3796
Ge 0.6466 0.3534 0.6204
Ge 0.6466 0.3534 0.8796

Values from the calculation:
As for the magnetization: 0.00 μB/atom. The space group is Cmcm, No. 63. The value obtained for the formation energy is -0.62 eV per atom. The calculation puts the final energy at -80.45 eV/cell.

11.
Compound: Zr3Cd2Hg3
Source: Alexandria via LeMat-Bulk
Functional: PBE
Structure: relaxed

a = 4.3734 Å, b = 4.4327 Å, c = 8.9739 Å
α = 90.00°, β = 90.00°, γ = 90.00°
Element x y z (fractional)
Zr 0.0000 0.0000 0.0000
Zr 0.5000 0.0000 0.2508
Zr 0.5000 0.0000 0.7492
Cd 0.0000 0.5000 0.2477
Cd 0.0000 0.5000 0.7523
Hg 0.0000 0.0000 0.5000
Hg 0.5000 0.5000 0.0000
Hg 0.5000 0.5000 0.5000

Values from the calculation:
As for the magnetization: 0.00 μB/atom. The space group is Pmmm, No. 47. The value obtained for the formation energy is -0.11 eV per atom. Its polymorph energy (0 for the lowest one) is 0.000 eV per atom. The calculation puts the final energy at -29.24 eV/cell.

12.
Compound: Li2AgBi
Source: Alexandria via LeMat-Bulk
Functional: PBE
Structure: relaxed

a = 8.9338 Å, b = 8.9338 Å, c = 8.9338 Å
α = 21.60°, β = 21.60°, γ = 21.60°
Element x y z (fractional)
Li 0.0000 0.0000 0.0000
Li 0.1535 0.1535 0.1535
Ag 0.4108 0.4108 0.4108
Bi 0.5761 0.5761 0.5761

Values from the calculation:
As for the magnetization: 0.00 μB/atom. The space group is R3m, No. 160. The value obtained for the formation energy is -0.17 eV per atom. Its polymorph energy (0 for the lowest one) is 0.180 eV per atom. The calculation puts the final energy at -11.22 eV/cell.

13.
Compound: PmYBiPd
Source: Alexandria via LeMat-Bulk
Functional: PBE
Structure: relaxed

a = 5.2890 Å, b = 5.2890 Å, c = 5.2890 Å
α = 60.00°, β = 60.00°, γ = 60.00°
Element x y z (fractional)
Pm 0.0000 0.0000 0.0000
Y 0.5000 0.5000 0.5000
Bi 0.2500 0.2500 0.2500
Pd 0.7500 0.7500 0.7500

Values from the calculation:
As for the magnetization: 0.23 μB/atom. The space group is F-43m, No. 216. The value obtained for the formation energy is -0.66 eV per atom. The calculation puts the final energy at -22.94 eV/cell.

14.
Compound: NaFe2AgPt
Source: Alexandria via LeMat-Bulk
Functional: PBE
Structure: relaxed

a = 4.7764 Å, b = 4.7764 Å, c = 5.0882 Å
α = 90.00°, β = 90.00°, γ = 90.00°
Element x y z (fractional)
Na 0.0000 0.0000 0.0000
Fe 0.0000 0.5000 0.5000
Fe 0.5000 0.0000 0.5000
Ag 0.5000 0.5000 0.5000
Pt 0.5000 0.5000 0.0000

Values from the calculation:
As for the magnetization: 1.35 μB/atom. The space group is P4/mmm, No. 123. The value obtained for the formation energy is 1.18 eV per atom. The calculation puts the final energy at -21.23 eV/cell.

15.
Compound: Ac2Tl2Ag3
Source: Alexandria via LeMat-Bulk
Functional: PBE
Structure: relaxed

a = 6.6284 Å, b = 6.6284 Å, c = 6.9630 Å
α = 109.18°, β = 109.18°, γ = 44.19°
Element x y z (fractional)
Ac 0.1115 0.1115 0.3237
Ac 0.8885 0.8885 0.6763
Tl 0.3863 0.3863 0.2994
Tl 0.6137 0.6137 0.7006
Ag 0.2420 0.2420 0.8459
Ag 0.5000 0.5000 0.0000
Ag 0.7580 0.7580 0.1541

Values from the calculation:
As for the magnetization: 0.00 μB/atom. The space group is C2/m, No. 12. The value obtained for the formation energy is -0.18 eV per atom. Its polymorph energy (0 for the lowest one) is 0.049 eV per atom. The calculation puts the final energy at -22.77 eV/cell.

16.
Compound: AcGa4RuPt2
Source: Alexandria via LeMat-Bulk
Functional: PBE
Structure: relaxed

a = 9.6364 Å, b = 9.6364 Å, c = 9.6364 Å
α = 25.81°, β = 25.81°, γ = 25.81°
Element x y z (fractional)
Ac 0.0000 0.0000 0.0000
Ga 0.1348 0.1348 0.1348
Ga 0.4063 0.4063 0.4063
Ga 0.5937 0.5937 0.5937
Ga 0.8652 0.8652 0.8652
Ru 0.5000 0.5000 0.5000
Pt 0.2326 0.2326 0.2326
Pt 0.7674 0.7674 0.7674

Values from the calculation:
As for the magnetization: 0.00 μB/atom. The space group is R-3m, No. 166. The value obtained for the formation energy is -0.64 eV per atom. The calculation puts the final energy at -42.73 eV/cell.

17.
Compound: LiBe2B6
Source: Alexandria via LeMat-Bulk
Functional: PBE
Structure: relaxed

a = 5.1752 Å, b = 5.1752 Å, c = 5.1752 Å
α = 146.58°, β = 121.27°, γ = 69.28°
Element x y z (fractional)
Li 0.0000 0.0000 0.0000
Be 0.3731 0.8731 0.5000
Be 0.6269 0.1269 0.5000
B 0.0011 0.6840 0.3171
B 0.3333 0.5000 0.8333
B 0.3669 0.6840 0.6829
B 0.6331 0.3160 0.3171
B 0.6667 0.5000 0.1667
B 0.9989 0.3160 0.6829

Values from the calculation:
As for the magnetization: 0.00 μB/atom. The space group is Immm, No. 71. The value obtained for the formation energy is 0.02 eV per atom. The calculation puts the final energy at -49.26 eV/cell.

18.
Compound: Nd2Cu5Pt5
Source: Alexandria via LeMat-Bulk
Functional: PBE
Structure: relaxed

a = 4.3470 Å, b = 5.1634 Å, c = 9.2123 Å
α = 90.00°, β = 90.00°, γ = 90.00°
Element x y z (fractional)
Nd 0.0000 0.0000 0.0000
Nd 0.0000 0.5000 0.5000
Cu 0.5000 0.0000 0.5000
Cu 0.5000 0.2496 0.2560
Cu 0.5000 0.2496 0.7440
Cu 0.5000 0.7504 0.2560
Cu 0.5000 0.7504 0.7440
Pt 0.0000 0.0000 0.3343
Pt 0.0000 0.0000 0.6657
Pt 0.0000 0.5000 0.1764
Pt 0.0000 0.5000 0.8236
Pt 0.5000 0.5000 0.0000

Values from the calculation:
As for the magnetization: 0.00 μB/atom. The space group is Pmmm, No. 47. The value obtained for the formation energy is -0.58 eV per atom. Its polymorph energy (0 for the lowest one) is 0.024 eV per atom. The calculation puts the final energy at -67.17 eV/cell.

19.
Compound: NdGeAs2
Source: Alexandria via LeMat-Bulk
Functional: PBE
Structure: relaxed

a = 7.9617 Å, b = 7.9617 Å, c = 7.9617 Å
α = 33.42°, β = 33.42°, γ = 33.42°
Element x y z (fractional)
Nd 0.0000 0.0000 0.0000
Ge 0.5000 0.5000 0.5000
As 0.3966 0.3966 0.3966
As 0.6034 0.6034 0.6034

Values from the calculation:
As for the magnetization: 0.00 μB/atom. The space group is R-3m, No. 166. The value obtained for the formation energy is -0.14 eV per atom. The calculation puts the final energy at -19.26 eV/cell.

20.
Compound: Sr2YGaCu2O7
Source: Alexandria via LeMat-Bulk
Functional: PBE
Structure: relaxed

a = 12.2526 Å, b = 12.2526 Å, c = 12.2526 Å
α = 36.79°, β = 153.95°, γ = 154.47°
Element x y z (fractional)
Sr 0.0175 0.1515 0.1691
Sr 0.0175 0.3485 0.3660
Sr 0.9825 0.6515 0.6340
Sr 0.9825 0.8485 0.8309
Y 0.9970 0.4970 0.5000
Y 0.9970 0.9970 0.0000
Ga 0.4670 0.7865 0.1805
Ga 0.6060 0.2865 0.8195
Cu 0.4955 0.5682 0.0707
Cu 0.4955 0.9248 0.4273
Cu 0.4975 0.0682 0.5727
Cu 0.4975 0.4248 0.9293
O 0.0042 0.6389 0.8653
O 0.4259 0.1472 0.6322
O 0.4259 0.2937 0.7787
O 0.4890 0.1788 0.1825
O 0.4890 0.8064 0.8101
O 0.5051 0.3124 0.3162
O 0.5051 0.6889 0.6927
O 0.5150 0.6472 0.2213
O 0.5150 0.7937 0.3678
O 0.7736 0.1389 0.1347
O 0.9962 0.1889 0.6838
O 0.9963 0.3064 0.8175
O 0.9963 0.6788 0.1899
O 0.9962 0.8124 0.3073

Values from the calculation:
As for the magnetization: 0.00 μB/atom. The space group is Ima2, No. 46. The calculation puts the final energy at -166.42 eV/cell. The uncorrected formation energy is -2112.0 meV per atom.

21.
Compound: Tl5Te
Source: Alexandria via LeMat-Bulk
Functional: PBE
Structure: relaxed

a = 8.2982 Å, b = 8.2982 Å, c = 4.4710 Å
α = 90.00°, β = 90.00°, γ = 141.51°
Element x y z (fractional)
Tl 0.0000 0.0000 0.0000
Tl 0.1652 0.8348 0.5000
Tl 0.3376 0.6624 0.0000
Tl 0.6624 0.3376 0.0000
Tl 0.8348 0.1652 0.5000
Te 0.5000 0.5000 0.5000

Values from the calculation:
As for the magnetization: 0.00 μB/atom. The space group is Cmmm, No. 65. Its polymorph energy (0 for the lowest one) is 0.007 eV per atom. The calculation puts the final energy at -15.59 eV/cell. The uncorrected formation energy is -102.2 meV per atom.

22.
Compound: Rb2CdCoPd
Source: Alexandria via LeMat-Bulk
Functional: PBE
Structure: relaxed

a = 6.4657 Å, b = 6.4657 Å, c = 4.6828 Å
α = 90.00°, β = 90.00°, γ = 90.00°
Element x y z (fractional)
Rb 0.0000 0.5000 0.0000
Rb 0.5000 0.0000 0.0000
Cd 0.0000 0.0000 0.5000
Co 0.5000 0.5000 0.0000
Pd 0.5000 0.5000 0.5000

Values from the calculation:
As for the magnetization: 0.39 μB/atom. The space group is P4/mmm, No. 123. The value obtained for the formation energy is 0.59 eV per atom. The calculation puts the final energy at -12.18 eV/cell.

23.
Compound: La2IF
Source: Alexandria via LeMat-Bulk
Functional: PBE
Structure: relaxed

a = 6.7263 Å, b = 6.7263 Å, c = 6.7263 Å
α = 107.61°, β = 107.61°, γ = 113.26°
Element x y z (fractional)
La 0.0203 0.6250 0.8953
La 0.3750 0.2703 0.3953
La 0.7297 0.1250 0.1047
La 0.8750 0.9797 0.6047
I 0.2500 0.7500 0.5000
I 0.5000 0.5000 0.0000
F 0.0000 0.0000 0.0000
F 0.7500 0.2500 0.5000

Values from the calculation:
As for the magnetization: 0.00 μB/atom. The space group is I-42d, No. 122. Its polymorph energy (0 for the lowest one) is 0.086 eV per atom. The calculation puts the final energy at -39.14 eV/cell. The uncorrected formation energy is -1573.2 meV per atom.

24.
Compound: SrIn6Pd3
Source: Alexandria via LeMat-Bulk
Functional: PBE
Structure: relaxed

a = 10.1337 Å, b = 4.5044 Å, c = 10.4616 Å
α = 90.00°, β = 96.02°, γ = 90.00°
Element x y z (fractional)
Sr 0.0917 0.2500 0.2324
Sr 0.9083 0.7500 0.7676
In 0.1191 0.7500 0.4891
In 0.1468 0.2500 0.9260
In 0.2692 0.7500 0.7624
In 0.3487 0.7500 0.2979
In 0.3526 0.2500 0.5539
In 0.4472 0.2500 0.0877
In 0.5528 0.7500 0.9123
In 0.6474 0.7500 0.4461
In 0.6513 0.2500 0.7021
In 0.7308 0.2500 0.2376
In 0.8532 0.7500 0.0740
In 0.8809 0.2500 0.5109
Pd 0.1207 0.2500 0.6588
Pd 0.2888 0.7500 0.0298
Pd 0.4994 0.2500 0.3548
Pd 0.5006 0.7500 0.6452
Pd 0.7112 0.2500 0.9702
Pd 0.8793 0.7500 0.3412

Values from the calculation:
As for the magnetization: 0.00 μB/atom. The space group is P2_1/m, No. 11. The value obtained for the formation energy is -0.44 eV per atom. The calculation puts the final energy at -76.14 eV/cell.